1.
The following is a PBE calculation of a relaxed Gd2Pu crystal, from Alexandria.

a b c (Å): 3.519 3.519 7.743
angles (deg): 103.14 103.14 90.02
Element x y z (fractional)
Gd: 0.164 0.164 0.328
Gd: 0.836 0.836 0.672
Pu: 0.500 0.500 0.000

Summary:
Crystal system: tetragonal
Energy relative to the lowest polymorph listed for this composition: 0.0000 eV/atom
Calculated formation energy: 98 meV/atom



2.
The following is a PBE calculation of a relaxed SmYMn17 crystal, from Alexandria.

a b c (Å): 6.344 6.344 6.344
angles (deg): 86.30 86.30 86.30
Element x y z (fractional)
Sm: 0.644 0.644 0.644
Y: 0.354 0.354 0.354
Mn: 0.274 0.001 0.726
Mn: 0.726 0.274 0.001
Mn: 0.001 0.726 0.274
Mn: 0.274 0.726 0.001
Mn: 0.001 0.274 0.726
Mn: 0.726 0.001 0.274
Mn: 0.354 0.877 0.354
Mn: 0.354 0.354 0.877
Mn: 0.877 0.354 0.354
Mn: 0.645 0.123 0.645
Mn: 0.645 0.645 0.123
Mn: 0.123 0.645 0.645
Mn: 0.001 0.500 0.001
Mn: 0.001 0.001 0.500
Mn: 0.500 0.001 0.001
Mn: 0.901 0.901 0.901
Mn: 0.100 0.100 0.100

Summary:
Crystal system: trigonal
Calculated formation energy: 19 meV/atom



3.
The following is a PBE calculation of a relaxed YBeP crystal, from Alexandria.

a b c (Å): 5.686 5.323 3.406
angles (deg): 77.89 66.25 35.86
Element x y z (fractional)
Y: 0.669 0.669 0.331
P: 0.369 0.369 0.631
Be: 0.962 0.962 0.038

Summary:
Crystal system: orthorhombic
Energy relative to the lowest polymorph listed for this composition: 0.6193 eV/atom
Calculated formation energy: -394 meV/atom



4.
The following is a PBE calculation of a relaxed CsOsNF2 crystal, from Alexandria.

a b c (Å): 5.252 5.252 4.809
angles (deg): 90.00 90.00 90.00
Element x y z (fractional)
Cs: 0.000 0.000 0.000
N: 0.000 0.000 0.500
Os: 0.500 0.500 0.500
F: 0.000 0.500 0.000
F: 0.500 0.000 0.000

Summary:
Crystal system: tetragonal
Energy relative to the lowest polymorph listed for this composition: 2.4029 eV/atom



5.
The following is a PBE calculation of a relaxed CaFe2Hg crystal, from Alexandria.

a b c (Å): 4.119 4.103 4.338
angles (deg): 90.00 90.00 90.00
Element x y z (fractional)
Ca: 0.000 0.500 0.500
Hg: 0.500 0.000 0.500
Fe: 0.000 0.000 0.000
Fe: 0.500 0.500 0.000

Summary:
Crystal system: orthorhombic
Calculated formation energy: 464 meV/atom



6.
The following is a PBE calculation of a relaxed BaTmAlO4 crystal, from Alexandria.

a b c (Å): 5.618 5.765 7.190
angles (deg): 90.00 108.30 90.00
Element x y z (fractional)
Ba: 0.710 0.750 0.931
Ba: 0.290 0.250 0.069
Tm: 0.805 0.750 0.464
Tm: 0.195 0.250 0.536
Al: 0.258 0.750 0.336
Al: 0.742 0.250 0.664
O: 0.964 0.481 0.693
O: 0.036 0.981 0.307
O: 0.036 0.519 0.307
O: 0.964 0.019 0.693
O: 0.448 0.750 0.180
O: 0.552 0.250 0.820
O: 0.475 0.750 0.571
O: 0.525 0.250 0.429

Summary:
Crystal system: monoclinic
Calculated total energy: -7.383 eV per atom



What did the third record say?
The following is a PBE calculation of a relaxed YBeP crystal, from Alexandria.

a b c (Å): 5.686 5.323 3.406
angles (deg): 77.89 66.25 35.86
Element x y z (fractional)
Y: 0.669 0.669 0.331
P: 0.369 0.369 0.631
Be: 0.962 0.962 0.038

Summary:
Crystal system: orthorhombic
Energy relative to the lowest polymorph listed for this composition: 0.6193 eV/atom
Calculated formation energy: -394 meV/atom